## Mg2CuPb (PBEsol)

Data for a geometry-optimized Mg2CuPb structure.

Lattice parameters (Å, degrees): 3.3415 4.3254 5.8601 90.00 106.29 90.00
Atoms (fractional coordinates):
Mg  0.0000  0.0000  0.0000
Mg  0.3414  0.5000  0.6863
Cu  0.7662  0.0000  0.5348
Pb  0.6161  0.5000  0.2331

Results
The formation energy is 0.15 eV per formula unit.